# 1
# Rb4Sm6F19

A relaxed structure of Rb4Sm6F19 (PBE, Alexandria).

The structure in CIF format:
```
data_Rb4Sm6F19
_cell_length_a 11.502
_cell_length_b 11.502
_cell_length_c 11.502
_cell_angle_alpha 90.00
_cell_angle_beta 90.00
_cell_angle_gamma 90.00
_space_group_name_H-M_alt 'I 2 3'
_space_group_IT_number 197
_space_group_name_Hall 'I 2 2 3'
loop_
_atom_site_label
_atom_site_fract_x
_atom_site_fract_y
_atom_site_fract_z
_atom_site_occupancy
Rb1 0.134 0.134 0.866 1
Sm1 0.000 0.338 0.500 1
F1 0.000 0.000 0.000 1
F2 0.000 0.000 0.382 1
F3 0.003 0.363 0.696 1
```

# 2
# Rb3SmF7

A relaxed structure of Rb3SmF7 (PBE, Alexandria).

The structure in CIF format:
```
data_Rb3SmF7
_cell_length_a 9.376
_cell_length_b 9.358
_cell_length_c 7.059
_cell_angle_alpha 90.00
_cell_angle_beta 128.23
_cell_angle_gamma 90.00
_space_group_name_H-M_alt 'C 1 m 1'
_space_group_IT_number 8
_space_group_name_Hall 'C -2y'
loop_
_atom_site_label
_atom_site_fract_x
_atom_site_fract_y
_atom_site_fract_z
_atom_site_occupancy
Rb1 0.000 0.000 0.000 1
Rb2 0.000 0.274 0.555 1
Sm1 0.047 0.500 0.106 1
F1 0.111 0.264 0.242 1
F2 0.176 0.500 0.923 1
F3 0.325 0.500 0.486 1
F4 0.354 0.167 0.810 1
F5 0.375 0.000 0.227 1
```

# 3
# Rb2SmF5

A relaxed structure of Rb2SmF5 (PBE, Alexandria).

The structure in CIF format:
```
data_Rb2SmF5
_cell_length_a 11.541
_cell_length_b 7.628
_cell_length_c 6.984
_cell_angle_alpha 90.00
_cell_angle_beta 90.00
_cell_angle_gamma 90.00
_space_group_name_H-M_alt 'P n m a'
_space_group_IT_number 62
_space_group_name_Hall '-P 2ac 2n'
loop_
_atom_site_label
_atom_site_fract_x
_atom_site_fract_y
_atom_site_fract_z
_atom_site_occupancy
Rb1 0.171 0.003 0.036 1
Sm1 0.004 0.250 0.558 1
F1 0.014 0.250 0.883 1
F2 0.072 0.534 0.645 1
F3 0.165 0.250 0.375 1
F4 0.186 0.750 0.346 1
```

# 4
# RbSrSmF6

A relaxed structure of RbSrSmF6 (PBE, Alexandria).

The structure in CIF format:
```
data_RbSrSmF6
_cell_length_a 7.983
_cell_length_b 8.169
_cell_length_c 11.556
_cell_angle_alpha 90.00
_cell_angle_beta 90.00
_cell_angle_gamma 90.00
_space_group_name_H-M_alt 'I m m a'
_space_group_IT_number 74
_space_group_name_Hall '-I 2b 2'
loop_
_atom_site_label
_atom_site_fract_x
_atom_site_fract_y
_atom_site_fract_z
_atom_site_occupancy
Rb1 0.000 0.250 0.136 1
Sr1 0.250 0.250 0.750 1
Sm1 0.000 0.000 0.500 1
F1 0.000 0.250 0.587 1
F2 0.000 0.250 0.862 1
F3 0.199 0.026 0.367 1
```

# 5
# RbSmTl2F6

A relaxed structure of RbSmTl2F6 (PBE, Alexandria).

The structure in CIF format:
```
data_RbSmTl2F6
_cell_length_a 6.8322
_cell_length_b 6.8322
_cell_length_c 16.8581
_cell_angle_alpha 90.00
_cell_angle_beta 90.00
_cell_angle_gamma 120.00
_space_group_name_H-M_alt 'R 3'
_space_group_IT_number 146
_space_group_name_Hall 'R 3'
loop_
_atom_site_label
_atom_site_fract_x
_atom_site_fract_y
_atom_site_fract_z
_atom_site_occupancy
Rb1 0.0000 0.0000 0.0000 1
Sm1 0.0000 0.0000 0.4918 1
Tl1 0.0000 0.0000 0.2708 1
Tl2 0.0000 0.0000 0.7723 1
F1 0.0204 0.4115 0.2230 1
F2 0.0901 0.6844 0.0696 1
```

# 6
# Rb2SmTlF6

A relaxed structure of Rb2SmTlF6 (PBE, Alexandria).

The structure in CIF format:
```
data_Rb2SmTlF6
_cell_length_a 6.713
_cell_length_b 6.956
_cell_length_c 11.609
_cell_angle_alpha 90.00
_cell_angle_beta 124.56
_cell_angle_gamma 90.00
_space_group_name_H-M_alt 'P 1 21/c 1'
_space_group_IT_number 14
_space_group_name_Hall '-P 2ybc'
loop_
_atom_site_label
_atom_site_fract_x
_atom_site_fract_y
_atom_site_fract_z
_atom_site_occupancy
Rb1 0.229 0.048 0.245 1
Sm1 0.500 0.000 0.000 1
Tl1 0.000 0.000 0.500 1
F1 0.181 0.178 0.953 1
F2 0.258 0.738 0.929 1
F3 0.391 0.058 0.780 1
```

# 7
# RbSmZnF6

A relaxed structure of RbSmZnF6 (PBE, Alexandria).

The structure in CIF format:
```
data_RbSmZnF6
_cell_length_a 7.422
_cell_length_b 7.776
_cell_length_c 10.391
_cell_angle_alpha 90.00
_cell_angle_beta 90.00
_cell_angle_gamma 90.00
_space_group_name_H-M_alt 'I m m a'
_space_group_IT_number 74
_space_group_name_Hall '-I 2b 2'
loop_
_atom_site_label
_atom_site_fract_x
_atom_site_fract_y
_atom_site_fract_z
_atom_site_occupancy
Rb1 0.000 0.250 0.089 1
Sm1 0.000 0.000 0.500 1
Zn1 0.250 0.250 0.750 1
F1 0.000 0.250 0.384 1
F2 0.000 0.250 0.655 1
F3 0.233 0.058 0.884 1
```

# 8
# Rb12Sn3F5

A relaxed structure of Rb12Sn3F5 (PBE, Alexandria).

The structure in CIF format:
```
data_Rb12Sn3F5
_cell_length_a 18.870
_cell_length_b 18.870
_cell_length_c 18.870
_cell_angle_alpha 90.00
_cell_angle_beta 90.00
_cell_angle_gamma 90.00
_space_group_name_H-M_alt 'I a -3 d'
_space_group_IT_number 230
_space_group_name_Hall '-I 4bd 2c 3'
loop_
_atom_site_label
_atom_site_fract_x
_atom_site_fract_y
_atom_site_fract_z
_atom_site_occupancy
Rb1 0.035 0.047 0.647 1
Sn1 0.000 0.250 0.125 1
F1 0.000 0.000 0.000 1
F2 0.000 0.250 0.375 1
```

# 9
# RbSn2F11

A relaxed structure of RbSn2F11 (PBE, Alexandria).

The structure in CIF format:
```
data_RbSn2F11
_cell_length_a 8.121
_cell_length_b 11.311
_cell_length_c 12.549
_cell_angle_alpha 90.00
_cell_angle_beta 90.00
_cell_angle_gamma 90.00
_space_group_name_H-M_alt 'I b a m'
_space_group_IT_number 72
_space_group_name_Hall '-I 2 2c'
loop_
_atom_site_label
_atom_site_fract_x
_atom_site_fract_y
_atom_site_fract_z
_atom_site_occupancy
Rb1 0.000 0.000 0.250 1
Sn1 0.154 0.254 0.000 1
F1 0.000 0.500 0.000 1
F2 0.096 0.207 0.500 1
F3 0.120 0.380 0.110 1
F4 0.183 0.140 0.115 1
```

# 10
# RbSn4F2

A relaxed structure of RbSn4F2 (PBE, Alexandria).

The structure in CIF format:
```
data_RbSn4F2
_cell_length_a 6.222
_cell_length_b 6.222
_cell_length_c 13.174
_cell_angle_alpha 90.00
_cell_angle_beta 90.00
_cell_angle_gamma 90.00
_space_group_name_H-M_alt 'I 4/m m m'
_space_group_IT_number 139
_space_group_name_Hall '-I 4 2'
loop_
_atom_site_label
_atom_site_fract_x
_atom_site_fract_y
_atom_site_fract_z
_atom_site_occupancy
Rb1 0.000 0.000 0.000 1
Sn1 0.000 0.000 0.254 1
Sn2 0.000 0.500 0.000 1
F1 0.000 0.000 0.407 1
```

# 11
# Rb3Sn2F7

A relaxed structure of Rb3Sn2F7 (PBE, Alexandria).

The structure in CIF format:
```
data_Rb3Sn2F7
_cell_length_a 4.699
_cell_length_b 25.238
_cell_length_c 4.525
_cell_angle_alpha 90.00
_cell_angle_beta 90.00
_cell_angle_gamma 90.00
_space_group_name_H-M_alt 'C m m m'
_space_group_IT_number 65
_space_group_name_Hall '-C 2 2'
loop_
_atom_site_label
_atom_site_fract_x
_atom_site_fract_y
_atom_site_fract_z
_atom_site_occupancy
Rb1 0.000 0.000 0.000 1
Rb2 0.000 0.194 0.000 1
Sn1 0.000 0.390 0.500 1
F1 0.000 0.122 0.500 1
F2 0.000 0.303 0.500 1
F3 0.000 0.371 0.000 1
F4 0.000 0.500 0.500 1
```

# 12
# Rb5SnF8

A relaxed structure of Rb5SnF8 (PBE, Alexandria).

The structure in CIF format:
```
data_Rb5SnF8
_cell_length_a 11.681
_cell_length_b 8.798
_cell_length_c 8.292
_cell_angle_alpha 90.00
_cell_angle_beta 128.28
_cell_angle_gamma 90.00
_space_group_name_H-M_alt 'C 1 2 1'
_space_group_IT_number 5
_space_group_name_Hall 'C 2y'
loop_
_atom_site_label
_atom_site_fract_x
_atom_site_fract_y
_atom_site_fract_z
_atom_site_occupancy
Rb1 0.000 0.000 0.000 1
Rb2 0.114 0.470 0.403 1
Rb3 0.240 0.720 0.016 1
Sn1 0.000 0.959 0.500 1
F1 0.033 0.137 0.348 1
F2 0.043 0.805 0.329 1
F3 0.201 0.483 0.781 1
F4 0.233 0.958 0.759 1
```

# 13
# Rb2Sn2F5

A relaxed structure of Rb2Sn2F5 (PBE, Alexandria).

The structure in CIF format:
```
data_Rb2Sn2F5
_cell_length_a 15.174
_cell_length_b 4.230
_cell_length_c 7.071
_cell_angle_alpha 90.00
_cell_angle_beta 113.55
_cell_angle_gamma 90.00
_space_group_name_H-M_alt 'C 1 2/m 1'
_space_group_IT_number 12
_space_group_name_Hall '-C 2y'
loop_
_atom_site_label
_atom_site_fract_x
_atom_site_fract_y
_atom_site_fract_z
_atom_site_occupancy
Rb1 0.109 0.000 0.310 1
Sn1 0.139 0.500 0.840 1
F1 0.000 0.500 0.000 1
F2 0.084 0.000 0.725 1
F3 0.189 0.500 0.600 1
```

# 14
# RbSn3F

A relaxed structure of RbSn3F (PBE, Alexandria).

relative energy among the computed polymorphs = 1418 meV/atom

The structure in CIF format:
```
data_RbSn3F
_cell_length_a 6.329
_cell_length_b 6.329
_cell_length_c 6.329
_cell_angle_alpha 90.00
_cell_angle_beta 90.00
_cell_angle_gamma 90.00
_space_group_name_H-M_alt 'P m -3 m'
_space_group_IT_number 221
_space_group_name_Hall '-P 4 2 3'
loop_
_atom_site_label
_atom_site_fract_x
_atom_site_fract_y
_atom_site_fract_z
_atom_site_occupancy
Rb1 0.000 0.000 0.000 1
Sn1 0.000 0.000 0.500 1
F1 0.500 0.500 0.500 1
```

# 15
# Rb6SnF12

A relaxed structure of Rb6SnF12 (PBE, Alexandria).

The structure in CIF format:
```
data_Rb6SnF12
_cell_length_a 11.7707
_cell_length_b 11.7707
_cell_length_c 11.0454
_cell_angle_alpha 90.00
_cell_angle_beta 90.00
_cell_angle_gamma 120.00
_space_group_name_H-M_alt 'R -3'
_space_group_IT_number 148
_space_group_name_Hall '-R 3'
loop_
_atom_site_label
_atom_site_fract_x
_atom_site_fract_y
_atom_site_fract_z
_atom_site_occupancy
Rb1 0.0715 0.4785 0.3194 1
Sn1 0.0000 0.0000 0.0000 1
F1 0.0457 0.1594 0.8985 1
F2 0.0723 0.2546 0.3957 1
```

Results for E_tot: -5.79 -4.88 -5.46 -5.71 -5.05 -5.12 -5.21 -2.90 -4.22 -2.96 -4.45 -4.29 -4.36 -1.90 -4.14 (in eV per atom, following the order of the records).
Results for magnetization: 0.00 2.40 0.79 0.56 0.00 0.00 0.00 23.90 8.45 0.00 0.00 1.92 0.00 1.61 6.00 (in μB per cell, following the order of the records).